Compound: Na3ReN
Source: the Alexandria database
Functional: PBE-GGA
Structure: relaxed

Cell lengths 4.7730, 4.7730, 4.7730 Å; angles 90.00, 90.00, 90.00 degrees
Positions (direct):
Na 0.0000 0.0000 0.5000
Na 0.0000 0.5000 0.0000
Na 0.5000 0.0000 0.0000
Re 0.5000 0.5000 0.5000
N 0.0000 0.0000 0.0000

Offset from the most stable computed form ... 0.000 eV/atom
Raw formation energy ... 1.430 eV/atom
DOS(E_F) ... 3.21 states/eV/cell
M_tot ... 5.00 μB per cell
Space-group type ... Pm-3m (221)